No. 1
The following is a PBE-GGA calculation of a relaxed Y3TiAg3S8 crystal, from the Alexandria database.

Structure (CIF):
```
data_Y3TiAg3S8
_cell_length_a 7.820
_cell_length_b 7.819
_cell_length_c 7.814
_cell_angle_alpha 120.30
_cell_angle_beta 90.00
_cell_angle_gamma 120.00
_symmetry_space_group_name_H-M 'P 1'
_symmetry_Int_Tables_number 1
loop_
_symmetry_equiv_pos_as_xyz
'x,y,z'
loop_
_atom_site_label
_atom_site_type_symbol
_atom_site_fract_x
_atom_site_fract_y
_atom_site_fract_z
Y1 Y 0.500 0.000 0.500
Y2 Y 0.500 0.500 0.500
Y3 Y 0.000 0.500 0.500
Ti1 Ti 0.000 0.000 0.500
Ag1 Ag 0.000 0.000 0.000
Ag2 Ag 0.000 0.500 0.000
Ag3 Ag 0.500 0.500 0.000
S1 S 0.252 0.504 0.258
S2 S 0.748 0.496 0.742
S3 S 0.773 0.547 0.279
S4 S 0.227 0.453 0.721
S5 S 0.773 0.003 0.278
S6 S 0.227 0.997 0.722
S7 S 0.230 0.003 0.278
S8 S 0.770 0.997 0.722
```

Results
Formation energy (no corrections) ... -1247 meV per atom
DFT total energy ... -0.215 Ha/atom
Spin magnetization ... 0.00 μB/cell

=====

No. 2
The following is a PBE-GGA calculation of a relaxed ZrTi2Ag2S6 crystal, from the Alexandria database.

Structure (CIF):
```
data_ZrTi2Ag2S6
_cell_length_a 6.135
_cell_length_b 6.135
_cell_length_c 9.012
_cell_angle_alpha 109.88
_cell_angle_beta 109.88
_cell_angle_gamma 120.00
_symmetry_space_group_name_H-M 'P 1'
_symmetry_Int_Tables_number 1
loop_
_symmetry_equiv_pos_as_xyz
'x,y,z'
loop_
_atom_site_label
_atom_site_type_symbol
_atom_site_fract_x
_atom_site_fract_y
_atom_site_fract_z
Zr1 Zr 0.000 0.000 0.500
Ti1 Ti 0.333 0.667 0.500
Ti2 Ti 0.667 0.333 0.500
Ag1 Ag 0.833 0.167 0.000
Ag2 Ag 0.167 0.833 0.000
S1 S 0.879 0.879 0.722
S2 S 0.221 0.564 0.722
S3 S 0.121 0.121 0.278
S4 S 0.564 0.221 0.722
S5 S 0.779 0.436 0.278
S6 S 0.436 0.779 0.278
```

Results
Formation energy (no corrections) ... -1039 meV per atom
DFT total energy ... -0.221 Ha/atom
Spin magnetization ... 0.00 μB/cell
Fermi-level density of states ... 6.30 states/eV per cell

=====

No. 3
The following is a PBE-GGA calculation of a relaxed ZrTiAgS4 crystal, from the Alexandria database.

Structure (CIF):
```
data_ZrTiAgS4
_cell_length_a 7.617
_cell_length_b 7.467
_cell_length_c 7.338
_cell_angle_alpha 119.43
_cell_angle_beta 90.00
_cell_angle_gamma 120.67
_symmetry_space_group_name_H-M 'P 1'
_symmetry_Int_Tables_number 1
loop_
_symmetry_equiv_pos_as_xyz
'x,y,z'
loop_
_atom_site_label
_atom_site_type_symbol
_atom_site_fract_x
_atom_site_fract_y
_atom_site_fract_z
Zr1 Zr 0.500 0.500 0.500
Zr2 Zr 0.000 0.500 0.500
Ti1 Ti 0.500 0.000 0.500
Ti2 Ti 0.500 0.000 0.000
Ag1 Ag 0.887 0.775 0.137
Ag2 Ag 0.113 0.225 0.863
S1 S 0.736 0.472 0.724
S2 S 0.285 0.011 0.255
S3 S 0.726 0.011 0.255
S4 S 0.736 0.472 0.248
S5 S 0.264 0.528 0.752
S6 S 0.715 0.989 0.745
S7 S 0.274 0.989 0.745
S8 S 0.264 0.528 0.276
```

Results
Formation energy (no corrections) ... -1157 meV per atom
DFT total energy ... -0.230 Ha/atom
Spin magnetization ... 1.19 μB/cell
Fermi-level density of states ... 6.89 states/eV per cell

=====

No. 4
The following is a PBE-GGA calculation of a relaxed TlAg4S2 crystal, from the Alexandria database.

Structure (CIF):
```
data_TlAg4S2
_cell_length_a 4.116
_cell_length_b 8.394
_cell_length_c 8.394
_cell_angle_alpha 90.00
_cell_angle_beta 90.00
_cell_angle_gamma 90.00
_symmetry_space_group_name_H-M 'P 1'
_symmetry_Int_Tables_number 1
loop_
_symmetry_equiv_pos_as_xyz
'x,y,z'
loop_
_atom_site_label
_atom_site_type_symbol
_atom_site_fract_x
_atom_site_fract_y
_atom_site_fract_z
Tl1 Tl 0.500 0.000 0.000
Tl2 Tl 0.000 0.500 0.500
Ag1 Ag 0.000 0.079 0.338
Ag2 Ag 0.000 0.921 0.662
Ag3 Ag 0.500 0.162 0.579
Ag4 Ag 0.500 0.838 0.421
Ag5 Ag 0.500 0.421 0.838
Ag6 Ag 0.500 0.579 0.162
Ag7 Ag 0.000 0.338 0.079
Ag8 Ag 0.000 0.662 0.921
S1 S 0.000 0.217 0.783
S2 S 0.000 0.783 0.217
S3 S 0.500 0.717 0.717
S4 S 0.500 0.283 0.283
```

Results
Formation energy (no corrections) ... -38 meV per atom
DFT total energy ... -0.117 Ha/atom
Spin magnetization ... 0.00 μB/cell
Offset from the most stable computed form ... 0 meV per atom
Fermi-level density of states ... 2.85 states/eV per cell

=====

No. 5
The following is a PBE-GGA calculation of a relaxed TlAg6S4 crystal, from the Alexandria database.

Structure (CIF):
```
data_TlAg6S4
_cell_length_a 3.893
_cell_length_b 8.042
_cell_length_c 8.042
_cell_angle_alpha 120.00
_cell_angle_beta 90.00
_cell_angle_gamma 90.00
_symmetry_space_group_name_H-M 'P 1'
_symmetry_Int_Tables_number 1
loop_
_symmetry_equiv_pos_as_xyz
'x,y,z'
loop_
_atom_site_label
_atom_site_type_symbol
_atom_site_fract_x
_atom_site_fract_y
_atom_site_fract_z
Tl1 Tl 0.000 0.000 0.000
Ag1 Ag 0.000 0.545 0.091
Ag2 Ag 0.500 0.604 0.802
Ag3 Ag 0.000 0.545 0.455
Ag4 Ag 0.000 0.909 0.455
Ag5 Ag 0.500 0.198 0.802
Ag6 Ag 0.500 0.198 0.396
S1 S 0.500 0.820 0.640
S2 S 0.500 0.360 0.180
S3 S 0.500 0.820 0.180
S4 S 0.000 0.333 0.667
```

Results
Formation energy (no corrections) ... 7 meV per atom
DFT total energy ... -0.120 Ha/atom
Spin magnetization ... 0.00 μB/cell
Offset from the most stable computed form ... 8 meV per atom
Fermi-level density of states ... 6.14 states/eV per cell

=====

No. 6
The following is a PBE-GGA calculation of a relaxed Tl2AgS crystal, from the Alexandria database.

Structure (CIF):
```
data_Tl2AgS
_cell_length_a 5.237
_cell_length_b 5.237
_cell_length_c 5.237
_cell_angle_alpha 60.00
_cell_angle_beta 60.00
_cell_angle_gamma 60.00
_symmetry_space_group_name_H-M 'P 1'
_symmetry_Int_Tables_number 1
loop_
_symmetry_equiv_pos_as_xyz
'x,y,z'
loop_
_atom_site_label
_atom_site_type_symbol
_atom_site_fract_x
_atom_site_fract_y
_atom_site_fract_z
Tl1 Tl 0.250 0.250 0.250
Tl2 Tl 0.750 0.750 0.750
S1 S 0.000 0.000 0.000
Ag1 Ag 0.500 0.500 0.500
```

Results
Formation energy (no corrections) ... 99 meV per atom
DFT total energy ... -0.104 Ha/atom
Spin magnetization ... 0.00 μB/cell
Offset from the most stable computed form ... 87 meV per atom
Fermi-level density of states ... 3.02 states/eV per cell

=====

No. 7
The following is a PBE-GGA calculation of a relaxed TlAg2S2 crystal, from the Alexandria database.

Structure (CIF):
```
data_TlAg2S2
_cell_length_a 8.008
_cell_length_b 8.008
_cell_length_c 3.183
_cell_angle_alpha 90.00
_cell_angle_beta 90.00
_cell_angle_gamma 90.00
_symmetry_space_group_name_H-M 'P 1'
_symmetry_Int_Tables_number 1
loop_
_symmetry_equiv_pos_as_xyz
'x,y,z'
loop_
_atom_site_label
_atom_site_type_symbol
_atom_site_fract_x
_atom_site_fract_y
_atom_site_fract_z
Tl1 Tl 0.000 0.000 0.000
Tl2 Tl 0.500 0.500 0.000
S1 S 0.170 0.670 0.500
S2 S 0.670 0.830 0.500
S3 S 0.830 0.330 0.500
S4 S 0.330 0.170 0.500
Ag1 Ag 0.370 0.870 0.000
Ag2 Ag 0.870 0.630 0.000
Ag3 Ag 0.630 0.130 0.000
Ag4 Ag 0.130 0.370 0.000
```

Results
Formation energy (no corrections) ... 95 meV per atom
DFT total energy ... -0.116 Ha/atom
Spin magnetization ... 0.00 μB/cell
Offset from the most stable computed form ... 133 meV per atom
Fermi-level density of states ... 4.43 states/eV per cell

=====

No. 8
The following is a PBE-GGA calculation of a relaxed Tl2AgS crystal, from the Alexandria database.

Structure (CIF):
```
data_Tl2AgS
_cell_length_a 3.877
_cell_length_b 3.877
_cell_length_c 9.474
_cell_angle_alpha 78.19
_cell_angle_beta 78.19
_cell_angle_gamma 60.00
_symmetry_space_group_name_H-M 'P 1'
_symmetry_Int_Tables_number 1
loop_
_symmetry_equiv_pos_as_xyz
'x,y,z'
loop_
_atom_site_label
_atom_site_type_symbol
_atom_site_fract_x
_atom_site_fract_y
_atom_site_fract_z
Tl1 Tl 0.102 0.102 0.694
Tl2 Tl 0.898 0.898 0.306
S1 S 0.500 0.500 0.500
Ag1 Ag 0.000 0.000 0.000
```

Results
Formation energy (no corrections) ... 76 meV per atom
DFT total energy ... -0.105 Ha/atom
Spin magnetization ... 0.00 μB/cell
Offset from the most stable computed form ... 64 meV per atom
Fermi-level density of states ... 2.07 states/eV per cell

=====

No. 9
The following is a PBE-GGA calculation of a relaxed Tl2AgS3 crystal, from the Alexandria database.

Structure (CIF):
```
data_Tl2AgS3
_cell_length_a 7.431
_cell_length_b 7.431
_cell_length_c 7.625
_cell_angle_alpha 99.95
_cell_angle_beta 99.95
_cell_angle_gamma 120.17
_symmetry_space_group_name_H-M 'P 1'
_symmetry_Int_Tables_number 1
loop_
_symmetry_equiv_pos_as_xyz
'x,y,z'
loop_
_atom_site_label
_atom_site_type_symbol
_atom_site_fract_x
_atom_site_fract_y
_atom_site_fract_z
Tl1 Tl 0.589 0.424 0.011
Tl2 Tl 0.776 0.259 0.505
Tl3 Tl 0.424 0.589 0.511
Tl4 Tl 0.259 0.776 0.005
Ag1 Ag 0.105 0.933 0.516
Ag2 Ag 0.933 0.105 0.016
S1 S 0.050 0.199 0.372
S2 S 0.199 0.050 0.872
S3 S 0.890 0.380 0.879
S4 S 0.380 0.890 0.379
S5 S 0.558 0.733 0.890
S6 S 0.733 0.558 0.390
```

Results
Formation energy (no corrections) ... -109 meV per atom
DFT total energy ... -0.126 Ha/atom
Spin magnetization ... 0.00 μB/cell
Fermi-level density of states ... 5.10 states/eV per cell

=====

No. 10
The following is a PBE-GGA calculation of a relaxed TlAg3S3 crystal, from the Alexandria database.

Structure (CIF):
```
data_TlAg3S3
_cell_length_a 4.520
_cell_length_b 11.034
_cell_length_c 9.726
_cell_angle_alpha 133.00
_cell_angle_beta 90.00
_cell_angle_gamma 90.00
_symmetry_space_group_name_H-M 'P 1'
_symmetry_Int_Tables_number 1
loop_
_symmetry_equiv_pos_as_xyz
'x,y,z'
loop_
_atom_site_label
_atom_site_type_symbol
_atom_site_fract_x
_atom_site_fract_y
_atom_site_fract_z
Tl1 Tl 0.250 0.761 0.461
Tl2 Tl 0.750 0.239 0.539
Ag1 Ag 0.750 0.360 0.281
Ag2 Ag 0.750 0.631 0.039
Ag3 Ag 0.750 0.048 0.859
Ag4 Ag 0.250 0.640 0.719
Ag5 Ag 0.250 0.369 0.961
Ag6 Ag 0.250 0.952 0.141
S1 S 0.250 0.449 0.278
S2 S 0.250 0.752 0.196
S3 S 0.250 0.922 0.808
S4 S 0.750 0.551 0.722
S5 S 0.750 0.248 0.804
S6 S 0.750 0.078 0.192
```

Results
Formation energy (no corrections) ... 10 meV per atom
DFT total energy ... -0.122 Ha/atom
Spin magnetization ... 0.00 μB/cell
Offset from the most stable computed form ... 25 meV per atom
Fermi-level density of states ... 1.37 states/eV per cell

=====

No. 11
The following is a PBE-GGA calculation of a relaxed Tl2Ag3S4 crystal, from the Alexandria database.

Structure (CIF):
```
data_Tl2Ag3S4
_cell_length_a 7.041
_cell_length_b 8.304
_cell_length_c 8.304
_cell_angle_alpha 96.27
_cell_angle_beta 94.15
_cell_angle_gamma 94.15
_symmetry_space_group_name_H-M 'P 1'
_symmetry_Int_Tables_number 1
loop_
_symmetry_equiv_pos_as_xyz
'x,y,z'
loop_
_atom_site_label
_atom_site_type_symbol
_atom_site_fract_x
_atom_site_fract_y
_atom_site_fract_z
Tl1 Tl 0.649 0.400 0.181
Tl2 Tl 0.851 0.819 0.600
Tl3 Tl 0.351 0.600 0.819
Tl4 Tl 0.149 0.181 0.400
Ag1 Ag 0.092 0.288 0.962
Ag2 Ag 0.408 0.038 0.712
Ag3 Ag 0.908 0.712 0.038
Ag4 Ag 0.592 0.962 0.288
Ag5 Ag 0.750 0.306 0.694
Ag6 Ag 0.250 0.694 0.306
S1 S 0.473 0.300 0.886
S2 S 0.027 0.114 0.700
S3 S 0.527 0.700 0.114
S4 S 0.973 0.886 0.300
S5 S 0.040 0.418 0.231
S6 S 0.460 0.769 0.582
S7 S 0.960 0.582 0.769
S8 S 0.540 0.231 0.418
```

Results
Formation energy (no corrections) ... -36 meV per atom
DFT total energy ... -0.123 Ha/atom
Spin magnetization ... 0.00 μB/cell
Fermi-level density of states ... 7.73 states/eV per cell

=====

No. 12
The following is a PBE-GGA calculation of a relaxed TlAg8S5 crystal, from the Alexandria database.

Structure (CIF):
```
data_TlAg8S5
_cell_length_a 7.801
_cell_length_b 7.801
_cell_length_c 7.801
_cell_angle_alpha 60.00
_cell_angle_beta 60.00
_cell_angle_gamma 60.00
_symmetry_space_group_name_H-M 'P 1'
_symmetry_Int_Tables_number 1
loop_
_symmetry_equiv_pos_as_xyz
'x,y,z'
loop_
_atom_site_label
_atom_site_type_symbol
_atom_site_fract_x
_atom_site_fract_y
_atom_site_fract_z
Tl1 Tl 0.250 0.250 0.250
Ag1 Ag 0.403 0.792 0.403
Ag2 Ag 0.792 0.403 0.403
Ag3 Ag 0.403 0.403 0.403
Ag4 Ag 0.403 0.403 0.792
Ag5 Ag 0.873 0.873 0.382
Ag6 Ag 0.382 0.873 0.873
Ag7 Ag 0.873 0.873 0.873
Ag8 Ag 0.873 0.382 0.873
S1 S 0.000 0.000 0.000
S2 S 0.633 0.633 0.101
S3 S 0.633 0.633 0.633
S4 S 0.101 0.633 0.633
S5 S 0.633 0.101 0.633
```

Results
Formation energy (no corrections) ... 148 meV per atom
DFT total energy ... -0.115 Ha/atom
Spin magnetization ... 0.00 μB/cell
Fermi-level density of states ... 10.59 states/eV per cell

=====

Look up the spin magnetization of the second one.
0.00 μB/cell